Entry 1:
The following is a PBE calculation of a geometry-optimized Pm2GaHRh6 structure, from the Alexandria database.

Summary:
Final energy (hartree per atom): -0.2381

Cell lengths 6.149, 6.149, 6.166 Å; angles 59.85, 59.85, 89.97 degrees
Element x y z (fractional)
1 Pm 0.748 0.252 0.500
2 Pm 0.252 0.748 0.500
3 Ga 0.000 0.000 0.000
4 H 0.500 0.500 0.000
5 Rh 0.274 0.274 0.450
6 Rh 0.727 0.727 0.997
7 Rh 0.275 0.725 0.000
8 Rh 0.725 0.275 0.000
9 Rh 0.273 0.273 0.003
10 Rh 0.726 0.726 0.550



Entry 2:
The following is a PBE calculation of a geometry-optimized PmGaH2Ru structure, from the Alexandria database.

Summary:
Final energy (hartree per atom): -0.1954

Cell lengths 3.932, 5.720, 6.096 Å; angles 90.00, 90.00, 110.10 degrees
Element x y z (fractional)
1 Pm 0.703 0.405 0.750
2 Pm 0.297 0.595 0.250
3 Ga 0.425 0.851 0.750
4 Ga 0.575 0.149 0.250
5 H 0.160 0.320 0.947
6 H 0.840 0.680 0.053
7 H 0.160 0.320 0.553
8 H 0.840 0.680 0.447
9 Ru 0.000 0.000 0.000
10 Ru 0.000 0.000 0.500



Entry 3:
The following is a PBE calculation of a geometry-optimized PrGa2H6 structure, from the Alexandria database.

Summary:
Final energy (hartree per atom): -0.1046

Cell lengths 5.359, 5.359, 5.359 Å; angles 60.00, 60.00, 60.00 degrees
Element x y z (fractional)
1 Pr 0.000 0.000 0.000
2 Ga 0.750 0.750 0.750
3 Ga 0.250 0.250 0.250
4 H 0.292 0.708 0.708
5 H 0.708 0.708 0.292
6 H 0.708 0.292 0.708
7 H 0.708 0.292 0.292
8 H 0.292 0.292 0.708
9 H 0.292 0.708 0.292